VASP calculation (PBE) on Ti3AgPb after structural relaxation.

Cell lengths 4.8771, 4.8771, 4.8771 Å; angles 90.00, 90.00, 90.00 degrees
With the nearest neighbours (Å) after each atom.
Element x y z (fractional)
Ti: 0.0000 0.0000 0.5000  2 Ag 2.44
Ti: 0.0000 0.5000 0.0000  2 Ag 2.44
Ti: 0.5000 0.0000 0.0000  2 Ag 2.44
Ag: 0.0000 0.0000 0.0000  6 Ti 2.44
Pb: 0.5000 0.5000 0.5000  12 Ti 3.45

Output
V, Å³/atom: 23.2
ΔH_f (0 K), eV per atom: 0.805
Size of the total moment, μB per cell: 0.0
Electronic total energy, eV/cell: -26.2